Record 1
The following is a PBE-GGA calculation of a geometry-optimized LuPtNO structure, from OQMD via LeMat-Bulk.

a b c (Å): 3.8434 3.8434 7.1931
angles (deg): 90.00 90.00 90.00
Last column: nearest neighbours and their distance in Å.
Sites, in units of the cell vectors:
Lu  0.2500  0.2500  0.1415  4 O 2.17
Lu  0.7500  0.7500  0.8585  4 O 2.17
Pt  0.7500  0.2500  0.5000  4 N 2.27
Pt  0.2500  0.7500  0.5000  4 N 2.27
N  0.7500  0.7500  0.3319  4 Pt 2.27
N  0.2500  0.2500  0.6681  4 Pt 2.27
O  0.2500  0.7500  0.0000  4 Lu 2.17
O  0.7500  0.2500  0.0000  4 Lu 2.17

Output
As for the space group: P4/nmm, No. 129. For the total energy, the calculation gives -7.02 eV per atom. For the energy above the most stable polymorph in this dataset, the calculation gives 304 meV per atom.


Record 2
The following is a PBE-GGA calculation of a geometry-optimized DyHo2Mg3Pt3 structure, from OQMD via LeMat-Bulk.

a b c (Å): 4.0729 7.3333 7.3333
angles (deg): 120.02 90.00 90.00
Last column: nearest neighbours and their distance in Å.
Sites, in units of the cell vectors:
Mg  0.5000  0.7544  0.0003  4 Pt 2.72-2.83
Mg  0.5000  0.0003  0.7544  4 Pt 2.72-2.83
Mg  0.5000  0.2455  0.2455  4 Pt 2.71-2.83
Pt  0.5000  0.3325  0.6669  3 Mg 2.81-2.83, 4 Ho 3.01, 2 Dy 3.02
Pt  0.5000  0.6669  0.3325  3 Mg 2.81-2.83, 4 Ho 3.01, 2 Dy 3.02
Pt  0.0000  0.0007  0.0007  6 Mg 2.71-2.72, 2 Ho 3.00, 1 Dy 3.01
Ho  0.0000  0.0000  0.4093  5 Pt 3.00-3.01, 6 Mg 3.25-3.32
Ho  0.0000  0.4093  0.0000  5 Pt 3.00-3.01, 6 Mg 3.25-3.32
Dy  0.0000  0.5902  0.5902  5 Pt 3.01-3.02, 6 Mg 3.25-3.32

Output
As for the space group: Amm2, No. 38. For the total energy, the calculation gives -5.03 eV per atom.


Record 3
The following is a PBE-GGA calculation of a geometry-optimized Na2TaF6 structure, from OQMD via LeMat-Bulk.

a b c (Å): 5.4674 5.4674 5.4674
angles (deg): 60.00 60.00 60.00
Last column: nearest neighbours and their distance in Å.
Sites, in units of the cell vectors:
F  0.7451  0.2549  0.2549  1 Ta 1.97
F  0.7451  0.2549  0.7451  1 Ta 1.97
F  0.2549  0.2549  0.7451  1 Ta 1.97
F  0.2549  0.7451  0.7451  1 Ta 1.97
F  0.2549  0.7451  0.2549  1 Ta 1.97
F  0.7451  0.7451  0.2549  1 Ta 1.97
Na  0.2500  0.2500  0.2500  12 F 2.73
Na  0.7500  0.7500  0.7500  12 F 2.73
Ta  0.0000  0.0000  0.0000  6 F 1.97

Output
As for the space group: Fm-3m, No. 225. For the total energy, the calculation gives -5.57 eV per atom.